No. 1
Below is a relaxed structure of Pm3SnIr, with properties calculated at the GGA-PBE level.

abc: 5.4696 5.4696 5.4696
angles: 90.00 90.00 90.00
With the nearest neighbours (Å) after each atom.
Space group Pm-3m (No. 221)
Asymmetric unit:
Pm (0.0000, 0.0000, 0.5000) [3 per cell]  2 Ir 2.73
Sn (0.5000, 0.5000, 0.5000) [1 per cell]  12 Pm 3.87
Ir (0.0000, 0.0000, 0.0000) [1 per cell]  6 Pm 2.73

Energy of formation ... -0.418 eV/atom
Relative energy among the computed polymorphs ... 0.215 eV per atom
M_tot ... 0.000 μB/cell

=====

No. 2
Below is a relaxed structure of Pm2Sn3Ir, with properties calculated at the GGA-PBE level.

abc: 4.0685 4.8158 8.0164
angles: 90.00 90.00 90.00
With the nearest neighbours (Å) after each atom.
Space group Pmm2 (No. 25)
Asymmetric unit:
Pm (0.0000, 0.0000, 0.0000) [1 per cell]  2 Ir 3.04, 4 Sn 3.36
Pm (0.0000, 0.5000, 0.4529) [1 per cell]  8 Sn 3.19-3.41, 4 Ir 3.44
Sn (0.5000, 0.0000, 0.6094) [1 per cell]  1 Ir 2.63, 2 Sn 2.83
Sn (0.5000, 0.5000, 0.1459) [1 per cell]  2 Ir 2.64, 1 Sn 2.82
Sn (0.5000, 0.5000, 0.7945) [1 per cell]  3 Sn 2.82-2.83
Ir (0.5000, 0.0000, 0.2810) [1 per cell]  3 Sn 2.63-2.64

Energy of formation ... -0.554 eV/atom
Relative energy among the computed polymorphs ... 0.098 eV per atom
M_tot ... 0.000 μB/cell

=====

No. 3
Below is a relaxed structure of PmSn2Ir2, with properties calculated at the GGA-PBE level.

abc: 4.6985 4.4692 10.6211
angles: 90.00 95.62 90.00
With the nearest neighbours (Å) after each atom.
Space group P2_1/m (No. 11)
Asymmetric unit:
Pm (0.1922, 0.2500, 0.2565) [2 per cell]  1 Ir 3.03, 2 Sn 3.37
Sn (0.2488, 0.7500, 0.4957) [2 per cell]  4 Ir 2.66-2.72
Sn (0.3355, 0.2500, 0.8781) [2 per cell]  5 Ir 2.59-2.78
Ir (0.1468, 0.7500, 0.0014) [2 per cell]  2 Ir 2.62, 4 Sn 2.64-2.78
Ir (0.2802, 0.2500, 0.6330) [2 per cell]  5 Sn 2.59-2.72

Energy of formation ... -0.531 eV/atom
Relative energy among the computed polymorphs ... 0.016 eV per atom
M_tot ... 0.000 μB/cell

=====

No. 4
Below is a relaxed structure of PmSn4Ir4, with properties calculated at the GGA-PBE level.

abc: 6.8857 6.8857 8.2544
angles: 90.00 90.00 90.00
With the nearest neighbours (Å) after each atom.
Space group P4_2/nmc (No. 137, origin choice 2)
Asymmetric unit:
Pm (0.2500, 0.7500, 0.2500) [2 per cell]  4 Ir 3.30, 4 Sn 3.47
Sn (0.0048, 0.7500, 0.6173) [8 per cell]  5 Ir 2.67-2.70
Ir (0.0484, 0.2500, 0.0628) [8 per cell]  5 Sn 2.67-2.70, 1 Ir 2.78

Energy of formation ... -0.191 eV/atom
M_tot ... 0.000 μB/cell

=====

No. 5
Below is a relaxed structure of Pm12Sn2Ir5, with properties calculated at the GGA-PBE level.

abc: 17.3169 7.3104 9.3115
angles: 90.00 108.73 90.00
With the nearest neighbours (Å) after each atom.
Space group C2/m (No. 12)
Asymmetric unit:
Pm (0.0185, 0.0000, 0.2563) [4 per cell]  1 Ir 2.67
Pm (0.0944, 0.5000, 0.2955) [4 per cell]  1 Ir 2.71
Pm (0.1428, 0.2449, 0.0249) [8 per cell]  3 Ir 2.89-3.05
Pm (0.1899, 0.2358, 0.6184) [8 per cell]  2 Ir 2.77-2.88
Sn (0.0000, 0.3003, 0.5000) [4 per cell]  1 Sn 2.92, 6 Pm 3.15-3.25
Ir (0.0000, 0.5000, 0.0000) [2 per cell]  2 Pm 2.71
Ir (0.1813, 0.0000, 0.3351) [4 per cell]  3 Pm 2.67-2.88
Ir (0.2239, 0.0000, 0.8645) [4 per cell]  6 Pm 2.77-2.96

Energy of formation ... -0.481 eV/atom
M_tot ... 0.000 μB/cell

=====

No. 6
Below is a relaxed structure of Pm4Sn5Ir2, with properties calculated at the GGA-PBE level.

abc: 7.7735 3.9636 9.3301
angles: 90.00 91.84 90.00
With the nearest neighbours (Å) after each atom.
Space group P2/m (No. 10)
Asymmetric unit:
Pm (0.2023, 0.0000, 0.3511) [2 per cell]  2 Ir 2.98, 6 Sn 3.27-3.32
Pm (0.2237, 0.0000, 0.9205) [2 per cell]  4 Ir 3.02-3.12, 4 Sn 3.37-3.38
Sn (0.1321, 0.5000, 0.6347) [2 per cell]  1 Ir 2.79
Sn (0.4427, 0.5000, 0.1616) [2 per cell]  1 Ir 2.81
Sn (0.5000, 0.5000, 0.5000) [1 per cell]  4 Sn 3.16-3.17, 4 Pm 3.32
Ir (0.0822, 0.5000, 0.1311) [2 per cell]  1 Ir 2.72, 2 Sn 2.79-2.81, 4 Pm 2.98-3.02

Energy of formation ... -0.665 eV/atom
M_tot ... 0.000 μB/cell

=====

No. 7
Below is a relaxed structure of Pm3Sn4Ir4, with properties calculated at the GGA-PBE level.

abc: 4.2852 4.4253 27.3417
angles: 90.00 90.00 90.00
With the nearest neighbours (Å) after each atom.
Space group Immm (No. 71)
Asymmetric unit:
Pm (0.0000, 0.0000, 0.0000) [2 per cell]  8 Ir 3.32, 4 Sn 3.41
Pm (0.0000, 0.5000, 0.1457) [4 per cell]  6 Ir 3.33-3.49, 8 Sn 3.35-3.65
Sn (0.0000, 0.0000, 0.2517) [4 per cell]  4 Ir 2.69
Sn (0.0000, 0.5000, 0.4027) [4 per cell]  3 Ir 2.60-2.63
Ir (0.0000, 0.0000, 0.4550) [4 per cell]  1 Ir 2.46, 2 Sn 2.63
Ir (0.0000, 0.5000, 0.3077) [4 per cell]  5 Sn 2.60-2.69

Energy of formation ... -0.536 eV/atom
M_tot ... 0.000 μB/cell

=====

No. 8
Below is a relaxed structure of Pm5Sn2Ir2, with properties calculated at the GGA-PBE level.

abc: 15.8894 8.5516 7.3785
angles: 90.00 90.00 90.00
With the nearest neighbours (Å) after each atom.
Space group Cmce (No. 64)
Asymmetric unit:
Pm (0.0000, 0.0000, 0.0000) [4 per cell]  2 Ir 2.94
Pm (0.1215, 0.1823, 0.3441) [16 per cell]  2 Ir 2.89-3.01
Sn (0.2136, 0.0000, 0.0000) [8 per cell]  7 Pm 3.26-3.39
Ir (0.0000, 0.1224, 0.6278) [8 per cell]  1 Ir 2.82, 5 Pm 2.89-3.01

Energy of formation ... -0.648 eV/atom
M_tot ... 0.000 μB/cell

=====

No. 9
Below is a relaxed structure of Pm2SnIr, with properties calculated at the GGA-PBE level.

abc: 3.5365 3.5365 8.1390
angles: 90.00 90.00 90.00
With the nearest neighbours (Å) after each atom.
Space group P4/mmm (No. 123)
Asymmetric unit:
Pm (0.0000, 0.0000, 0.2109) [2 per cell]  4 Ir 3.03
Sn (0.5000, 0.5000, 0.5000) [1 per cell]  8 Pm 3.43, 4 Sn 3.54
Ir (0.5000, 0.5000, 0.0000) [1 per cell]  8 Pm 3.03

Energy of formation ... -0.659 eV/atom
M_tot ... 0.000 μB/cell

=====

No. 10
Below is a relaxed structure of Pm7SnIr3, with properties calculated at the GGA-PBE level.

abc: 9.2003 10.4784 7.0494
angles: 90.00 107.84 90.00
With the nearest neighbours (Å) after each atom.
Space group C2/m (No. 12)
Asymmetric unit:
Pm (0.0000, 0.0000, 0.0000) [2 per cell]  2 Ir 2.87
Pm (0.1499, 0.5000, 0.2177) [4 per cell]  3 Ir 2.75-2.93
Pm (0.1669, 0.2917, 0.7289) [8 per cell]  2 Ir 2.80-2.86
Sn (0.0000, 0.0000, 0.5000) [2 per cell]  8 Pm 3.23-3.58
Ir (0.0000, 0.2735, 0.0000) [4 per cell]  5 Pm 2.80-2.93
Ir (0.0000, 0.5000, 0.5000) [2 per cell]  6 Pm 2.75-2.86

Energy of formation ... -0.528 eV/atom
M_tot ... 0.000 μB/cell

=====

No. 11
Below is a relaxed structure of Pm3Sn3Ir2, with properties calculated at the GGA-PBE level.

abc: 4.6154 11.0706 15.3566
angles: 90.00 90.00 90.00
With the nearest neighbours (Å) after each atom.
Space group Cmcm (No. 63)
Asymmetric unit:
Pm (0.0000, 0.0743, 0.1108) [8 per cell]  3 Ir 3.06-3.38, 5 Sn 3.24-3.42
Pm (0.0000, 0.3487, 0.2500) [4 per cell]  4 Ir 3.22, 5 Sn 3.22-3.32
Sn (0.0000, 0.3542, 0.7500) [4 per cell]  2 Ir 2.74
Sn (0.0000, 0.3640, 0.0338) [8 per cell]  3 Ir 2.68-2.83
Ir (0.0000, 0.2024, 0.6088) [8 per cell]  4 Sn 2.68-2.83

Energy of formation ... -0.767 eV/atom
Relative energy among the computed polymorphs ... 0.000 eV per atom
M_tot ... 0.000 μB/cell

=====

No. 12
Below is a relaxed structure of Pm2SnIr, with properties calculated at the GGA-PBE level.

abc: 6.3557 4.0345 8.8630
angles: 90.00 109.00 90.00
With the nearest neighbours (Å) after each atom.
Space group P2_1/m (No. 11)
Asymmetric unit:
Pm (0.1707, 0.2500, 0.3927) [2 per cell]  2 Ir 2.87
Pm (0.2563, 0.7500, 0.0459) [2 per cell]  3 Ir 2.90-3.11
Sn (0.3706, 0.7500, 0.7044) [2 per cell]  2 Ir 2.87
Ir (0.1172, 0.2500, 0.7976) [2 per cell]  2 Sn 2.87, 5 Pm 2.87-3.11

Energy of formation ... -0.730 eV/atom
M_tot ... 0.000 μB/cell